(1)
Material: Li3Th3ScSe8
Method: DFT, PBE
State: relaxed

Cell lengths 8.1744, 8.1744, 19.7491 Å; angles 90.00, 90.00, 120.00 degrees
With the nearest neighbours (Å) after each atom.
Space group R-3m (No. 166, hexagonal axes)
One atom of each set of equivalent atoms:
Li 0.0000 0.5000 0.0000 [9 per cell]  6 Se 2.79-2.82
Th 0.0000 0.5000 0.5000 [9 per cell]  6 Se 2.93-2.97
Sc 0.0000 0.0000 0.5000 [3 per cell]  6 Se 2.77
Se 0.0000 0.0000 0.2583 [6 per cell]  3 Li 2.79, 3 Th 2.97
Se 0.0189 0.5094 0.2500 [18 per cell]  1 Sc 2.77, 2 Li 2.82, 2 Th 2.93

Calculated values
VASP energy in eV per atom: -5.6894
Uncorrected formation energy in eV per atom: -1.5422

(2)
Material: LiThSc2Se4
Method: DFT, PBE
State: relaxed

Cell lengths 6.9182, 3.9392, 6.9214 Å; angles 90.00, 108.50, 90.00 degrees
With the nearest neighbours (Å) after each atom.
Space group P2/m (No. 10)
One atom of each set of equivalent atoms:
Li 0.0000 0.0000 0.0000 [1 per cell]  6 Se 2.79-2.84
Th 0.0000 0.5000 0.5000 [1 per cell]  6 Se 2.90-2.94
Sc 0.5000 0.0000 0.5000 [1 per cell]  6 Se 2.80-2.84
Sc 0.5000 0.5000 0.0000 [1 per cell]  6 Se 2.71
Se 0.2621 0.5000 0.2450 [2 per cell]  3 Sc 2.71-2.80, 2 Li 2.84, 1 Th 2.90
Se 0.2668 0.0000 0.7715 [2 per cell]  3 Sc 2.71-2.84, 1 Li 2.79, 2 Th 2.94

Calculated values
VASP energy in eV per atom: -6.0549
Uncorrected formation energy in eV per atom: -1.5630

(3)
Material: LiTh3Sc2Se6
Method: DFT, PBE
State: relaxed

Cell lengths 18.0706, 3.8995, 8.3983 Å; angles 90.00, 109.24, 90.00 degrees
With the nearest neighbours (Å) after each atom.
Space group C2/m (No. 12)
One atom of each set of equivalent atoms:
Li 0.0000 0.0000 0.0000 [2 per cell]  6 Se 2.69-2.72
Th 0.0000 0.0000 0.5000 [2 per cell]  6 Se 3.01-3.02
Th 0.1669 0.5000 0.8352 [4 per cell]  6 Se 3.00-3.04
Sc 0.1656 0.5000 0.3329 [4 per cell]  6 Se 2.71-2.74
Se 0.0068 0.5000 0.2305 [4 per cell]  1 Sc 2.71, 2 Li 2.72, 3 Th 3.00-3.02
Se 0.1575 0.0000 0.1003 [4 per cell]  1 Li 2.69, 2 Sc 2.73, 2 Th 3.01
Se 0.1741 0.0000 0.5666 [4 per cell]  3 Sc 2.73-2.74, 3 Th 3.01-3.02

Calculated values
VASP energy in eV per atom: -6.3562
Uncorrected formation energy in eV per atom: -1.5443

(4)
Material: Li4Th3ScSe8
Method: DFT, PBE
State: relaxed

Cell lengths 8.0683, 8.0683, 19.9861 Å; angles 90.00, 90.00, 120.00 degrees
With the nearest neighbours (Å) after each atom.
Space group R-3m (No. 166, hexagonal axes)
One atom of each set of equivalent atoms:
Li 0.0000 0.0000 0.0000 [3 per cell]  6 Se 2.93
Li 0.0000 0.5000 0.0000 [9 per cell]  6 Se 2.76-2.78
Th 0.0000 0.5000 0.5000 [9 per cell]  6 Se 2.95-2.97
Sc 0.0000 0.0000 0.5000 [3 per cell]  6 Se 2.81
Se 0.0000 0.0000 0.2589 [6 per cell]  3 Li 2.76, 3 Th 2.97
Se 0.0165 0.5083 0.2530 [18 per cell]  3 Li 2.78-2.93, 1 Sc 2.81, 2 Th 2.95

Calculated values
VASP energy in eV per atom: -5.5045
Uncorrected formation energy in eV per atom: -1.4968

(5)
Material: Li3Sc2TiSe6
Method: DFT, PBE
State: relaxed

Cell lengths 6.5917, 11.4177, 6.7914 Å; angles 90.00, 108.92, 90.00 degrees
With the nearest neighbours (Å) after each atom.
Space group C2/m (No. 12)
One atom of each set of equivalent atoms:
Li 0.0000 0.0000 0.0000 [2 per cell]  6 Se 2.73-2.81
Li 0.0000 0.3321 0.0000 [4 per cell]  6 Se 2.73-2.79
Sc 0.0000 0.1666 0.5000 [4 per cell]  6 Se 2.71
Ti 0.0000 0.5000 0.5000 [2 per cell]  6 Se 2.64
Se 0.2431 0.3376 0.7417 [8 per cell]  1 Ti 2.64, 2 Sc 2.71, 3 Li 2.73-2.79
Se 0.2441 0.5000 0.2593 [4 per cell]  1 Ti 2.64, 2 Sc 2.71, 3 Li 2.74-2.81

Calculated values
VASP energy in eV per atom: -5.3807
Uncorrected formation energy in eV per atom: -1.4468

(6)
Material: Li3Sc3TiSe8
Method: DFT, PBE
State: relaxed

Cell lengths 13.2077, 7.6258, 7.8182 Å; angles 90.00, 124.32, 90.00 degrees
With the nearest neighbours (Å) after each atom.
Space group C2/m (No. 12)
One atom of each set of equivalent atoms:
Li 0.0000 0.0000 0.0000 [2 per cell]  6 Se 2.75-2.76
Li 0.2500 0.2500 0.0000 [4 per cell]  6 Se 2.75-2.76
Sc 0.0000 0.5000 0.5000 [2 per cell]  6 Se 2.71
Sc 0.2500 0.2500 0.5000 [4 per cell]  6 Se 2.71
Ti 0.0000 0.0000 0.5000 [2 per cell]  6 Se 2.61
Se 0.0018 0.2410 0.2648 [8 per cell]  1 Ti 2.61, 2 Sc 2.71, 2 Li 2.75-2.76
Se 0.2392 0.0000 0.7353 [4 per cell]  1 Ti 2.61, 2 Sc 2.71, 2 Li 2.76
Se 0.2483 0.5000 0.7445 [4 per cell]  3 Sc 2.71, 3 Li 2.75

Calculated values
VASP energy in eV per atom: -5.5168
Uncorrected formation energy in eV per atom: -1.4830

(7)
Material: Li4Sc3TiSe8
Method: DFT, PBE
State: relaxed

Cell lengths 7.6432, 7.6432, 19.2592 Å; angles 90.00, 90.00, 120.00 degrees
With the nearest neighbours (Å) after each atom.
Space group R-3m (No. 166, hexagonal axes)
One atom of each set of equivalent atoms:
Li 0.0000 0.0000 0.0000 [3 per cell]  6 Se 2.80
Li 0.0000 0.5000 0.0000 [9 per cell]  6 Se 2.74-2.75
Sc 0.0000 0.5000 0.5000 [9 per cell]  6 Se 2.71
Ti 0.0000 0.0000 0.5000 [3 per cell]  6 Se 2.65
Se 0.0000 0.0000 0.2482 [6 per cell]  3 Sc 2.71, 3 Li 2.75
Se 0.0074 0.5037 0.2469 [18 per cell]  1 Ti 2.65, 2 Sc 2.71, 3 Li 2.74-2.80

Calculated values
VASP energy in eV per atom: -5.3859
Uncorrected formation energy in eV per atom: -1.4846

(8)
Material: Li2ScTiSe4
Method: DFT, PBE
State: relaxed

Cell lengths 6.5453, 3.7674, 6.7943 Å; angles 90.00, 108.72, 90.00 degrees
With the nearest neighbours (Å) after each atom.
Space group P2/m (No. 10)
One atom of each set of equivalent atoms:
Li 0.0000 0.0000 0.0000 [1 per cell]  6 Se 2.77-2.78
Li 0.5000 0.5000 0.0000 [1 per cell]  6 Se 2.72
Sc 0.0000 0.5000 0.5000 [1 per cell]  6 Se 2.70
Ti 0.5000 0.0000 0.5000 [1 per cell]  6 Se 2.64-2.65
Se 0.2548 0.0000 0.7428 [2 per cell]  1 Ti 2.65, 2 Sc 2.70, 3 Li 2.72-2.78
Se 0.2609 0.5000 0.2616 [2 per cell]  2 Ti 2.64, 1 Sc 2.70, 3 Li 2.72-2.77

Calculated values
VASP energy in eV per atom: -5.3806
Uncorrected formation energy in eV per atom: -1.3816

(9)
Material: LiSc2Tl3Se6
Method: DFT, PBE
State: relaxed

Cell lengths 7.0348, 12.2231, 7.5055 Å; angles 90.00, 108.33, 90.00 degrees
With the nearest neighbours (Å) after each atom.
Space group C2/m (No. 12)
One atom of each set of equivalent atoms:
Li 0.0000 0.0000 0.0000 [2 per cell]  6 Se 2.84-2.85
Sc 0.0000 0.3299 0.0000 [4 per cell]  6 Se 2.71-2.74
Tl 0.0000 0.1641 0.5000 [4 per cell]  6 Se 3.10-3.19
Tl 0.0000 0.5000 0.5000 [2 per cell]  6 Se 3.10-3.17
Se 0.2191 0.5000 0.2005 [4 per cell]  2 Sc 2.74, 1 Li 2.84
Se 0.2432 0.1727 0.2069 [8 per cell]  2 Sc 2.71-2.73, 1 Li 2.85

Calculated values
VASP energy in eV per atom: -4.5278
Uncorrected formation energy in eV per atom: -0.9793

(10)
Material: LiTmSc2Se4
Method: DFT, PBE
State: relaxed

Cell lengths 6.7482, 3.8988, 6.8280 Å; angles 90.00, 109.05, 90.00 degrees
With the nearest neighbours (Å) after each atom.
Space group P2/m (No. 10)
One atom of each set of equivalent atoms:
Li 0.0000 0.0000 0.0000 [1 per cell]  6 Se 2.74-2.77
Tm 0.5000 0.5000 0.0000 [1 per cell]  6 Se 2.80-2.81
Sc 0.0000 0.5000 0.5000 [1 per cell]  6 Se 2.73-2.74
Sc 0.5000 0.0000 0.5000 [1 per cell]  6 Se 2.77-2.78
Se 0.2417 0.0000 0.7453 [2 per cell]  3 Sc 2.74-2.78, 1 Li 2.74, 2 Tm 2.81
Se 0.2473 0.5000 0.2538 [2 per cell]  3 Sc 2.73-2.77, 2 Li 2.77, 1 Tm 2.80

Calculated values
VASP energy in eV per atom: -5.7708
Uncorrected formation energy in eV per atom: -1.6475

(11)
Material: Li3Tm3ScSe8
Method: DFT, PBE
State: relaxed

Cell lengths 7.9660, 7.9660, 19.3452 Å; angles 90.00, 90.00, 120.00 degrees
With the nearest neighbours (Å) after each atom.
Space group R-3m (No. 166, hexagonal axes)
One atom of each set of equivalent atoms:
Li 0.0000 0.5000 0.0000 [9 per cell]  6 Se 2.79-2.80
Tm 0.0000 0.5000 0.5000 [9 per cell]  6 Se 2.82
Sc 0.0000 0.0000 0.5000 [3 per cell]  6 Se 2.74
Se 0.0000 0.0000 0.2514 [6 per cell]  3 Li 2.79, 3 Tm 2.82
Se 0.0094 0.5047 0.2483 [18 per cell]  1 Sc 2.74, 2 Li 2.80, 2 Tm 2.82

Calculated values
VASP energy in eV per atom: -5.1525
Uncorrected formation energy in eV per atom: -1.5949

(12)
Material: Li2TmScSe4
Method: DFT, PBE
State: relaxed

Cell lengths 6.8307, 3.9465, 6.8378 Å; angles 90.00, 109.43, 90.00 degrees
With the nearest neighbours (Å) after each atom.
Space group P2/m (No. 10)
One atom of each set of equivalent atoms:
Li 0.0000 0.0000 0.0000 [1 per cell]  6 Se 2.84
Li 0.5000 0.5000 0.0000 [1 per cell]  6 Se 2.77
Tm 0.0000 0.5000 0.5000 [1 per cell]  6 Se 2.81
Sc 0.5000 0.0000 0.5000 [1 per cell]  6 Se 2.74-2.75
Se 0.2577 0.0000 0.7491 [2 per cell]  1 Sc 2.74, 3 Li 2.77-2.84, 2 Tm 2.81
Se 0.2599 0.5000 0.2558 [2 per cell]  2 Sc 2.75, 3 Li 2.77-2.84, 1 Tm 2.81

Calculated values
VASP energy in eV per atom: -5.2117
Uncorrected formation energy in eV per atom: -1.6406

(13)
Material: LiTm4ScSe8
Method: DFT, PBE
State: relaxed

Cell lengths 8.2369, 8.2369, 19.8962 Å; angles 90.00, 90.00, 120.00 degrees
With the nearest neighbours (Å) after each atom.
Space group R3m (No. 160, hexagonal axes)
One atom of each set of equivalent atoms:
Li 0.0000 0.0000 0.0000 [3 per cell]  4 Se 2.58-2.64
Tm 0.0000 0.0000 0.2476 [3 per cell]  4 Se 2.68-2.70
Tm 0.1734 0.3469 0.4564 [9 per cell]  6 Se 2.79-2.88
Sc 0.0000 0.0000 0.6320 [3 per cell]  6 Se 2.69-2.83
Se 0.0000 0.0000 0.3825 [3 per cell]  4 Tm 2.68-2.88
Se 0.0000 0.0000 0.8701 [3 per cell]  1 Li 2.58, 3 Tm 2.79
Se 0.0198 0.5099 0.3734 [9 per cell]  1 Li 2.64, 1 Sc 2.69, 2 Tm 2.80
Se 0.1811 0.3621 0.2076 [9 per cell]  3 Tm 2.70-2.88, 1 Sc 2.83

Calculated values
VASP energy in eV per atom: -5.5957
Uncorrected formation energy in eV per atom: -1.7380

(14)
Material: Li4TmSc3Se8
Method: DFT, PBE
State: relaxed

Cell lengths 7.8118, 7.8118, 19.2980 Å; angles 90.00, 90.00, 120.00 degrees
With the nearest neighbours (Å) after each atom.
Space group R-3m (No. 166, hexagonal axes)
One atom of each set of equivalent atoms:
Li 0.0000 0.0000 0.0000 [3 per cell]  6 Se 2.74
Li 0.0000 0.5000 0.0000 [9 per cell]  6 Se 2.80-2.81
Tm 0.0000 0.0000 0.5000 [3 per cell]  6 Se 2.80
Sc 0.0000 0.5000 0.5000 [9 per cell]  6 Se 2.73-2.74
Se 0.0000 0.0000 0.2470 [6 per cell]  3 Sc 2.74, 3 Li 2.80
Se 0.0080 0.5040 0.7514 [18 per cell]  2 Sc 2.73, 3 Li 2.74-2.81, 1 Tm 2.80

Calculated values
VASP energy in eV per atom: -5.3049
Uncorrected formation energy in eV per atom: -1.6175

(15)
Material: Li3TmSc4Se8
Method: DFT, PBE
State: relaxed

Cell lengths 7.7472, 7.7472, 19.3427 Å; angles 90.00, 90.00, 120.00 degrees
With the nearest neighbours (Å) after each atom.
Space group R-3m (No. 166, hexagonal axes)
One atom of each set of equivalent atoms:
Li 0.0000 0.5000 0.0000 [9 per cell]  6 Se 2.76-2.78
Tm 0.0000 0.0000 0.0000 [3 per cell]  6 Se 2.79
Sc 0.0000 0.0000 0.5000 [3 per cell]  6 Se 2.72
Sc 0.0000 0.5000 0.5000 [9 per cell]  6 Se 2.73-2.76
Se 0.0000 0.0000 0.2476 [6 per cell]  3 Sc 2.73, 3 Li 2.78
Se 0.0046 0.5023 0.2488 [18 per cell]  3 Sc 2.72-2.76, 2 Li 2.76, 1 Tm 2.79

Calculated values
VASP energy in eV per atom: -5.5984
Uncorrected formation energy in eV per atom: -1.6349

(16)
Material: LiTm2ScSe4
Method: DFT, PBE
State: relaxed

Cell lengths 6.8004, 3.9493, 6.8880 Å; angles 90.00, 109.38, 90.00 degrees
With the nearest neighbours (Å) after each atom.
Space group P2/m (No. 10)
One atom of each set of equivalent atoms:
Li 0.0000 0.0000 0.0000 [1 per cell]  6 Se 2.73-2.75
Tm 0.5000 0.0000 0.5000 [1 per cell]  6 Se 2.84-2.85
Tm 0.5000 0.5000 0.0000 [1 per cell]  6 Se 2.83
Sc 0.0000 0.5000 0.5000 [1 per cell]  6 Se 2.76
Se 0.2386 0.0000 0.7492 [2 per cell]  1 Li 2.73, 2 Sc 2.76, 3 Tm 2.83-2.85
Se 0.2395 0.5000 0.2456 [2 per cell]  2 Li 2.75, 1 Sc 2.76, 3 Tm 2.83-2.84

Calculated values
VASP energy in eV per atom: -5.5643
Uncorrected formation energy in eV per atom: -1.6735

(17)
Material: Li4Tm3ScSe8
Method: DFT, PBE
State: relaxed

Cell lengths 7.9649, 7.9649, 19.4107 Å; angles 90.00, 90.00, 120.00 degrees
With the nearest neighbours (Å) after each atom.
Space group R-3m (No. 166, hexagonal axes)
One atom of each set of equivalent atoms:
Li 0.0000 0.0000 0.0000 [3 per cell]  6 Se 2.87
Li 0.0000 0.5000 0.0000 [9 per cell]  6 Se 2.80
Tm 0.0000 0.5000 0.5000 [9 per cell]  6 Se 2.82
Sc 0.0000 0.0000 0.5000 [3 per cell]  6 Se 2.76
Se 0.0000 0.0000 0.2507 [6 per cell]  3 Li 2.80, 3 Tm 2.82
Se 0.0081 0.5040 0.2491 [18 per cell]  1 Sc 2.76, 3 Li 2.80-2.87, 2 Tm 2.82

Calculated values
VASP energy in eV per atom: -5.1212
Uncorrected formation energy in eV per atom: -1.6663

(18)
Material: LiTmScSe3
Method: DFT, PBE
State: relaxed

Cell lengths 7.9973, 3.8509, 8.6056 Å; angles 90.00, 104.14, 90.00 degrees
With the nearest neighbours (Å) after each atom.
Space group P2_1/m (No. 11)
One atom of each set of equivalent atoms:
Li 0.0914 0.2500 0.0888 [2 per cell]  4 Se 2.46-2.54, 2 Li 2.66
Tm 0.1910 0.2500 0.7303 [2 per cell]  7 Se 2.84-2.96
Sc 0.3387 0.7500 0.3416 [2 per cell]  6 Se 2.70-2.87
Se 0.0951 0.2500 0.3757 [2 per cell]  1 Li 2.46
Se 0.2362 0.7500 0.9985 [2 per cell]  3 Li 2.47-2.54
Se 0.4284 0.7500 0.6696 [2 per cell]  3 Sc 2.70-2.74, 2 Tm 2.84

Calculated values
VASP energy in eV per atom: -5.4098
Uncorrected formation energy in eV per atom: -1.5480

(19)
Material: Li3TmSc2Se6
Method: DFT, PBE
State: relaxed

Cell lengths 6.7872, 11.7584, 6.8224 Å; angles 90.00, 109.38, 90.00 degrees
With the nearest neighbours (Å) after each atom.
Space group C2/m (No. 12)
One atom of each set of equivalent atoms:
Li 0.0000 0.0000 0.0000 [2 per cell]  6 Se 2.74-2.82
Li 0.0000 0.3336 0.0000 [4 per cell]  6 Se 2.75-2.82
Tm 0.0000 0.5000 0.5000 [2 per cell]  6 Se 2.81
Sc 0.0000 0.1668 0.5000 [4 per cell]  6 Se 2.73-2.74
Se 0.2396 0.0000 0.7461 [4 per cell]  2 Sc 2.74, 3 Li 2.74-2.81, 1 Tm 2.81
Se 0.2470 0.1712 0.2551 [8 per cell]  2 Sc 2.73, 3 Li 2.75-2.82, 1 Tm 2.81

Calculated values
VASP energy in eV per atom: -5.2753
Uncorrected formation energy in eV per atom: -1.6267

(20)
Material: Li2ScUSe4
Method: DFT, PBE
State: relaxed

Cell lengths 6.8476, 3.9533, 6.9028 Å; angles 90.00, 109.18, 90.00 degrees
With the nearest neighbours (Å) after each atom.
Space group P2/m (No. 10)
One atom of each set of equivalent atoms:
Li 0.0000 0.0000 0.0000 [1 per cell]  6 Se 2.75-2.76
Li 0.5000 0.5000 0.0000 [1 per cell]  6 Se 2.84-2.85
Sc 0.0000 0.5000 0.5000 [1 per cell]  6 Se 2.76-2.77
U 0.5000 0.0000 0.5000 [1 per cell]  6 Se 2.85-2.86
Se 0.2365 0.5000 0.2435 [2 per cell]  3 Li 2.75-2.84, 1 Sc 2.76, 2 U 2.86
Se 0.2386 0.0000 0.7470 [2 per cell]  3 Li 2.76-2.85, 2 Sc 2.77, 1 U 2.85

Calculated values
VASP energy in eV per atom: -5.7940
Uncorrected formation energy in eV per atom: -1.3708